(1)
A plane-wave DFT calculation with PBE-GGA was carried out for a geometry-optimized LaAs3 structure.

## Properties
As for the density of states at the Fermi level: 0.5939 states/eV/atom. For the total energy, the calculation gives -4.8490 eV per atom. The calculation puts the energy relative to the elements at -0.5 eV per formula unit. The magnetization is 0.00 μB/f.u.

Cell lengths 7.8651, 7.8651, 7.8651 Å; angles 35.13, 35.13, 35.13 degrees
Closest atoms and distances in Å follow each position.
Fractional positions:
1 As 0.5000 0.5000 0.5000  2 As 2.38
2 As 0.3926 0.3926 0.3926  1 As 2.38
3 As 0.6074 0.6074 0.6074  1 As 2.38
4 La 0.0000 0.0000 0.0000  6 As 3.04

---

(2)
A plane-wave DFT calculation with PBE-GGA was carried out for a geometry-optimized CoSN2 structure.

## Properties
For the energy above the most stable polymorph in this dataset, the calculation gives 1074 meV/atom. As for the density of states at the Fermi level: 0.3715 states/eV/atom. For the total energy, the calculation gives -5.9346 eV per atom. The magnetization is 0.53 μB/f.u.

Cell lengths 5.9319, 5.9319, 5.9319 Å; angles 26.99, 26.99, 26.99 degrees
Closest atoms and distances in Å follow each position.
Fractional positions:
1 N 0.8938 0.8938 0.8938  1 Co 1.82, 3 S 1.90
2 N 0.1062 0.1062 0.1062  1 Co 1.82, 3 S 1.90
3 S 0.5000 0.5000 0.5000  6 N 1.90
4 Co 0.0000 0.0000 0.0000  2 N 1.82

---

(3)
A plane-wave DFT calculation with PBE-GGA was carried out for a geometry-optimized Cs2CuIrCl structure.

## Properties
As for the density of states at the Fermi level: 1.1605 states/eV/atom. For the total energy, the calculation gives -2.8150 eV per atom. The magnetization is 1.63 μB/f.u.

Cell lengths 6.6841, 4.5494, 6.6841 Å; angles 90.00, 90.00, 90.00 degrees
Closest atoms and distances in Å follow each position.
Fractional positions:
1 Cu 0.0000 0.5000 0.0000  2 Cl 2.27
2 Ir 0.5000 0.5000 0.5000  8 Cs 4.04
3 Cl 0.0000 0.0000 0.0000  2 Cu 2.27
4 Cs 0.0000 0.0000 0.5000  2 Cl 3.34
5 Cs 0.5000 0.0000 0.0000  2 Cl 3.34

---

(4)
A plane-wave DFT calculation with PBE-GGA was carried out for a geometry-optimized TaPd2Au2 structure.

## Properties
For the energy above the most stable polymorph in this dataset, the calculation gives 191 meV/atom. As for the density of states at the Fermi level: 0.4733 states/eV/atom. For the total energy, the calculation gives -5.8741 eV per atom. The calculation puts the energy relative to the elements at -0.6 eV per formula unit. The magnetization is 0.00 μB/f.u.

Cell lengths 4.8862, 5.7218, 7.3943 Å; angles 111.32, 90.00, 115.28 degrees
Closest atoms and distances in Å follow each position.
Fractional positions:
1 Au 0.9442 0.8885 0.1461  4 Pd 2.80-2.90, 3 Ta 2.83-2.88, 3 Au 2.83-3.09
2 Au 0.0558 0.1115 0.8539  4 Pd 2.80-2.90, 3 Ta 2.83-2.88, 3 Au 2.83-3.09
3 Au 0.7351 0.4703 0.7476  5 Pd 2.79-2.88, 3 Ta 2.80-2.85, 2 Au 2.87-3.09
4 Au 0.2649 0.5297 0.2524  5 Pd 2.79-2.88, 3 Ta 2.80-2.85, 2 Au 2.87-3.09
5 Pd 0.1528 0.3057 0.5510  1 Ta 2.69, 5 Au 2.79-2.90, 4 Pd 2.80-2.94
6 Pd 0.8472 0.6943 0.4490  1 Ta 2.69, 5 Au 2.79-2.90, 4 Pd 2.80-2.94
7 Pd 0.4455 0.8910 0.6605  1 Ta 2.56, 4 Au 2.80-2.84, 3 Pd 2.80-2.86
8 Pd 0.5545 0.1090 0.3395  1 Ta 2.56, 4 Au 2.80-2.84, 3 Pd 2.80-2.86
9 Ta 0.6542 0.3084 0.0734  2 Pd 2.56-2.69, 4 Au 2.80-2.85
10 Ta 0.3458 0.6916 0.9266  2 Pd 2.56-2.69, 4 Au 2.80-2.85

---

(5)
A plane-wave DFT calculation with PBE-GGA was carried out for a geometry-optimized RbHfMn2Zn structure.

## Properties
As for the density of states at the Fermi level: 1.4328 states/eV/atom. For the total energy, the calculation gives -4.6303 eV per atom. The calculation puts the energy relative to the elements at 7.4 eV per formula unit. The magnetization is 6.41 μB/f.u.

Cell lengths 4.9276, 5.3244, 4.9276 Å; angles 90.00, 90.00, 90.00 degrees
Closest atoms and distances in Å follow each position.
Fractional positions:
1 Mn 0.0000 0.0000 0.5000  2 Zn 2.46
2 Mn 0.5000 0.0000 0.0000  2 Zn 2.46
3 Rb 0.0000 0.5000 0.0000  2 Zn 2.66
4 Hf 0.5000 0.5000 0.5000  4 Rb 3.48, 8 Mn 3.63
5 Zn 0.0000 0.0000 0.0000  4 Mn 2.46, 2 Rb 2.66

---

(6)
A plane-wave DFT calculation with PBE-GGA was carried out for a geometry-optimized CrReRu2 structure.

## Properties
For the energy above the most stable polymorph in this dataset, the calculation gives 68 meV/atom. As for the density of states at the Fermi level: 1.0656 states/eV/atom. For the total energy, the calculation gives -10.0210 eV per atom. The calculation puts the energy relative to the elements at 0.5 eV per formula unit. The magnetization is 0.00 μB/f.u.

Cell lengths 8.9177, 8.9177, 8.9177 Å; angles 17.41, 17.41, 17.41 degrees
Closest atoms and distances in Å follow each position.
Fractional positions:
1 Ru 0.0011 0.0011 0.0011  3 Re 2.69, 9 Ru 2.70-2.81
2 Ru 0.2456 0.2456 0.2456  3 Cr 2.54, 9 Ru 2.70-2.81
3 Re 0.7507 0.7507 0.7507  3 Ru 2.69, 6 Re 2.70, 3 Cr 2.73
4 Cr 0.5026 0.5026 0.5026  3 Ru 2.54, 6 Cr 2.70, 3 Re 2.73

---

(7)
A plane-wave DFT calculation with PBE-GGA was carried out for a geometry-optimized CoRu2Br structure.

## Properties
For the energy above the most stable polymorph in this dataset, the calculation gives 307 meV/atom. As for the density of states at the Fermi level: 1.5107 states/eV/atom. For the total energy, the calculation gives -5.9797 eV per atom. The magnetization is 2.89 μB/f.u.

Cell lengths 2.8170, 2.8170, 8.9998 Å; angles 90.00, 90.00, 119.77 degrees
Closest atoms and distances in Å follow each position.
Fractional positions:
1 Br 0.0000 0.0000 0.5160  2 Co 2.63, 6 Br 2.82-2.83, 2 Ru 2.93
2 Co 0.5000 0.5000 0.7618  2 Ru 2.50, 2 Br 2.63
3 Ru 0.5000 0.5000 0.2312  8 Ru 2.58-2.83
4 Ru 0.0000 0.0000 0.9910  2 Co 2.50, 2 Ru 2.58

---

(8)
A plane-wave DFT calculation with PBE-GGA was carried out for a geometry-optimized Si2HgP structure.

## Properties
For the energy above the most stable polymorph in this dataset, the calculation gives 492 meV/atom. As for the density of states at the Fermi level: 0.5963 states/eV/atom. For the total energy, the calculation gives -3.3931 eV per atom. The magnetization is 0.00 μB/f.u.

Cell lengths 4.6639, 4.6639, 4.6639 Å; angles 60.00, 60.00, 60.00 degrees
Closest atoms and distances in Å follow each position.
Fractional positions:
1 Si 0.7500 0.7500 0.7500  4 Hg 2.86, 4 P 2.86
2 Si 0.2500 0.2500 0.2500  4 Hg 2.86, 4 P 2.86
3 P 0.0000 0.0000 0.0000  8 Si 2.86
4 Hg 0.5000 0.5000 0.5000  8 Si 2.86

---

(9)
A plane-wave DFT calculation with PBE-GGA was carried out for a geometry-optimized MoC structure.

## Properties
For the energy above the most stable polymorph in this dataset, the calculation gives 345 meV/atom. As for the density of states at the Fermi level: 0.3210 states/eV/atom. For the total energy, the calculation gives -9.7760 eV per atom. The calculation puts the energy relative to the elements at 0.5 eV per formula unit. The magnetization is 0.00 μB/f.u.

Cell lengths 4.0498, 4.0498, 6.2271 Å; angles 71.34, 71.34, 41.53 degrees
Closest atoms and distances in Å follow each position.
Fractional positions:
1 C 0.9096 0.9096 0.9939  6 Mo 2.15-2.21
2 C 0.6221 0.6221 0.3249  5 Mo 2.13-2.24
3 C 0.7205 0.7205 0.6750  5 Mo 2.17-2.21
4 Mo 0.3563 0.3563 0.2776  5 C 2.13-2.22
5 Mo 0.2052 0.2052 0.9436  5 C 2.15-2.21
6 Mo 0.0197 0.0197 0.6184  6 C 2.17-2.24

---

(10)
A plane-wave DFT calculation with PBE-GGA was carried out for a geometry-optimized Pm3CuAu3 structure.

## Properties
As for the density of states at the Fermi level: 0.7221 states/eV/atom. For the total energy, the calculation gives -4.6982 eV per atom. The calculation puts the energy relative to the elements at -4.7 eV per formula unit. The magnetization is 0.00 μB/f.u.

Cell lengths 4.5935, 3.8136, 10.1719 Å; angles 100.80, 103.05, 90.00 degrees
Closest atoms and distances in Å follow each position.
Fractional positions:
1 Au 0.8575 0.3575 0.7150  2 Cu 2.70
2 Au 0.1523 0.6523 0.3045  2 Au 2.91, 5 Pm 3.05-3.20
3 Au 0.5606 0.5606 0.1211  1 Cu 2.53
4 Pm 0.9978 0.9978 0.9956  8 Au 3.23-3.56, 4 Cu 3.26
5 Pm 0.3167 0.8167 0.6334  2 Cu 2.92, 5 Au 3.09-3.20
6 Pm 0.6846 0.1846 0.3691  7 Au 3.05-3.36
7 Cu 0.4306 0.4306 0.8613  3 Au 2.53-2.70

---

(11)
A plane-wave DFT calculation with PBE-GGA was carried out for a geometry-optimized Ac8Sm3Ho structure.

## Properties
As for the density of states at the Fermi level: 1.6611 states/eV/atom. For the total energy, the calculation gives -3.6980 eV per atom. The calculation puts the energy relative to the elements at 7.2 eV per formula unit. The magnetization is 0.02 μB/f.u.

Cell lengths 9.1934, 9.1934, 9.1934 Å; angles 91.39, 119.20, 119.20 degrees
Closest atoms and distances in Å follow each position.
Fractional positions:
1 Ac 0.0000 0.2530 0.7549  1 Ho 3.28, 1 Sm 3.30, 2 Ac 3.56-3.58
2 Ac 0.2621 0.3783 0.3783  3 Ac 3.45-3.58, 1 Ho 3.61, 3 Sm 3.64-3.68
3 Ac 0.0000 0.7549 0.2530  1 Ho 3.28, 1 Sm 3.30, 2 Ac 3.56-3.58
4 Ac 0.5019 0.7470 0.7470  1 Ho 3.28, 1 Sm 3.30, 2 Ac 3.56-3.58
5 Ac 0.4981 0.2451 0.2451  1 Ho 3.28, 1 Sm 3.30, 2 Ac 3.56-3.58
6 Ac 0.7379 0.1162 0.1162  3 Ac 3.45-3.58, 1 Ho 3.61, 3 Sm 3.64-3.68
7 Ac 0.0000 0.8838 0.6217  3 Ac 3.45-3.58, 1 Ho 3.61, 3 Sm 3.64-3.68
8 Ac 0.0000 0.6217 0.8838  3 Ac 3.45-3.58, 1 Ho 3.61, 3 Sm 3.64-3.68
9 Ho 0.0000 0.0000 0.0000  8 Ac 3.28-3.61
10 Sm 0.5000 0.7500 0.2500  4 Ac 3.64
11 Sm 0.0000 0.5000 0.5000  8 Ac 3.30-3.68
12 Sm 0.5000 0.2500 0.7500  4 Ac 3.64

---

(12)
A plane-wave DFT calculation with PBE-GGA was carried out for a geometry-optimized AcCeTlHg structure.

## Properties
For the energy above the most stable polymorph in this dataset, the calculation gives 0 meV/atom. As for the density of states at the Fermi level: 2.8194 states/eV/atom. For the total energy, the calculation gives -3.4917 eV per atom. The calculation puts the energy relative to the elements at -1.3 eV per formula unit. The magnetization is 1.72 μB/f.u.

Cell lengths 3.9645, 3.9645, 8.0332 Å; angles 90.00, 90.00, 90.00 degrees
Closest atoms and distances in Å follow each position.
Fractional positions:
1 Tl 0.0000 0.0000 0.8384  4 Ce 3.40, 4 Ac 3.57, 1 Hg 3.71
2 Ce 0.5000 0.5000 0.5998  4 Hg 3.33, 4 Tl 3.40
3 Hg 0.0000 0.0000 0.3767  4 Ce 3.33, 4 Ac 3.51, 1 Tl 3.71
4 Ac 0.5000 0.5000 0.1131  4 Hg 3.51, 4 Tl 3.57, 1 Ce 3.91

---

(13)
A plane-wave DFT calculation with PBE-GGA was carried out for a geometry-optimized CsBa4P2 structure.

## Properties
As for the density of states at the Fermi level: 1.2237 states/eV/atom. For the total energy, the calculation gives -2.8003 eV per atom. The calculation puts the energy relative to the elements at -0.2 eV per formula unit. The magnetization is 1.69 μB/f.u.

Cell lengths 6.6218, 6.6218, 9.5825 Å; angles 69.79, 69.79, 90.00 degrees
Closest atoms and distances in Å follow each position.
Fractional positions:
1 Ba 0.0000 0.5000 0.0000  2 Cs 3.31, 4 P 3.48
2 Ba 0.7365 0.7365 0.5271  1 P 2.89
3 Ba 0.5000 0.0000 0.0000  2 Cs 3.31, 4 P 3.48
4 Ba 0.2635 0.2635 0.4729  1 P 2.89
5 P 0.5635 0.5635 0.8730  1 P 2.12
6 P 0.4365 0.4365 0.1270  1 P 2.12
7 Cs 0.0000 0.0000 0.0000  4 Ba 3.31